[1]
DFT (PBE) results for a geometry-optimized PmDy3Y3 structure.

```
data_PmDy3Y3
_chemical_formula_sum 'Pm1 Dy3 Y3'
_space_group_name_H-M_alt 'P 1'
_space_group_IT_number 1
_cell_length_a 8.2297
_cell_length_b 6.3345
_cell_length_c 6.3345
_cell_angle_alpha 102.63
_cell_angle_beta 115.66
_cell_angle_gamma 115.66
loop_
_space_group_symop_operation_xyz
'x,y,z'
loop_
_atom_site_label
_atom_site_type_symbol
_atom_site_fract_x
_atom_site_fract_y
_atom_site_fract_z
_atom_site_occupancy
Pm1 Pm 0.5626 0.0000 0.0000 1
Dy1 Dy 0.6213 0.6483 0.6483 1
Dy2 Dy 0.9730 0.0000 0.3517 1
Dy3 Dy 0.9730 0.3517 0.0000 1
Y1 Y 0.0149 0.5999 0.5999 1
Y2 Y 0.4150 0.0000 0.4001 1
Y3 Y 0.4150 0.4001 0.0000 1
```

[2]
DFT (PBE) results for a geometry-optimized Pm4Dy8Y structure.

```
data_Pm4Dy8Y
_chemical_formula_sum 'Pm4 Dy8 Y1'
_space_group_name_H-M_alt 'P 1'
_space_group_IT_number 1
_cell_length_a 7.4047
_cell_length_b 7.4047
_cell_length_c 9.9752
_cell_angle_alpha 90.00
_cell_angle_beta 111.79
_cell_angle_gamma 120.00
loop_
_space_group_symop_operation_xyz
'x,y,z'
loop_
_atom_site_label
_atom_site_type_symbol
_atom_site_fract_x
_atom_site_fract_y
_atom_site_fract_z
_atom_site_occupancy
Pm1 Pm 0.0000 0.0000 0.0000 1
Pm2 Pm 0.0000 0.5000 0.0000 1
Pm3 Pm 0.5000 0.5000 0.0000 1
Pm4 Pm 0.5000 0.0000 0.0000 1
Dy1 Dy 0.5654 0.7827 0.3481 1
Dy2 Dy 0.4346 0.2173 0.6519 1
Dy3 Dy 0.4998 0.2499 0.3104 1
Dy4 Dy 0.9395 0.1894 0.6896 1
Dy5 Dy 0.5002 0.7501 0.6896 1
Dy6 Dy 0.9395 0.7501 0.6896 1
Dy7 Dy 0.0605 0.2499 0.3104 1
Dy8 Dy 0.0605 0.8106 0.3104 1
Y1 Y 0.0000 0.5000 0.5000 1
```

[3]
DFT (PBE) results for a geometry-optimized Pm5Dy2Y3 structure.

```
data_Pm5Dy2Y3
_chemical_formula_sum 'Pm10 Dy4 Y6'
_space_group_name_H-M_alt 'P 1'
_space_group_IT_number 1
_cell_length_a 10.0614
_cell_length_b 10.0389
_cell_length_c 11.2858
_cell_angle_alpha 129.47
_cell_angle_beta 129.51
_cell_angle_gamma 64.65
loop_
_space_group_symop_operation_xyz
'x,y,z'
loop_
_atom_site_label
_atom_site_type_symbol
_atom_site_fract_x
_atom_site_fract_y
_atom_site_fract_z
_atom_site_occupancy
Pm1 Pm 0.2727 0.5227 0.0454 1
Pm2 Pm 0.7273 0.4773 0.9546 1
Pm3 Pm 0.0235 0.7735 0.5471 1
Pm4 Pm 0.5161 0.2661 0.5322 1
Pm5 Pm 0.9765 0.2265 0.4529 1
Pm6 Pm 0.4839 0.7339 0.4678 1
Pm7 Pm 0.8878 0.6355 0.7555 1
Pm8 Pm 0.1122 0.3645 0.2445 1
Pm9 Pm 0.3677 0.1200 0.7555 1
Pm10 Pm 0.6323 0.8800 0.2445 1
Dy1 Dy 0.7752 0.0344 0.7518 1
Dy2 Dy 0.2248 0.9656 0.2482 1
Dy3 Dy 0.4765 0.7173 0.7518 1
Dy4 Dy 0.5235 0.2827 0.2482 1
Y1 Y 0.2292 0.9792 0.9583 1
Y2 Y 0.7708 0.0208 0.0417 1
Y3 Y 0.7188 0.4784 0.2520 1
Y4 Y 0.2812 0.5216 0.7480 1
Y5 Y 0.0332 0.7736 0.2520 1
Y6 Y 0.9668 0.2264 0.7480 1
```

[4]
DFT (PBE) results for a geometry-optimized Pm4Dy6Y structure.

```
data_Pm4Dy6Y
_chemical_formula_sum 'Pm4 Dy6 Y1'
_space_group_name_H-M_alt 'P 1'
_space_group_IT_number 1
_cell_length_a 9.7604
_cell_length_b 9.7604
_cell_length_c 9.7604
_cell_angle_alpha 57.45
_cell_angle_beta 140.26
_cell_angle_gamma 140.26
loop_
_space_group_symop_operation_xyz
'x,y,z'
loop_
_atom_site_label
_atom_site_type_symbol
_atom_site_fract_x
_atom_site_fract_y
_atom_site_fract_z
_atom_site_occupancy
Pm1 Pm 0.0000 0.6350 0.0130 1
Pm2 Pm 0.3780 0.3650 0.3650 1
Pm3 Pm 0.0000 0.0130 0.6350 1
Pm4 Pm 0.6220 0.9870 0.9870 1
Dy1 Dy 0.0000 0.8046 0.4484 1
Dy2 Dy 0.0000 0.4484 0.8046 1
Dy3 Dy 0.3562 0.5516 0.5516 1
Dy4 Dy 0.5000 0.5000 0.0000 1
Dy5 Dy 0.6438 0.1954 0.1954 1
Dy6 Dy 0.5000 0.0000 0.5000 1
Y1 Y 0.0000 0.0000 0.0000 1
```

[5]
DFT (PBE) results for a geometry-optimized Pm3Dy7Y structure.

```
data_Pm3Dy7Y
_chemical_formula_sum 'Pm3 Dy7 Y1'
_space_group_name_H-M_alt 'P 1'
_space_group_IT_number 1
_cell_length_a 5.8474
_cell_length_b 8.4490
_cell_length_c 8.4490
_cell_angle_alpha 83.31
_cell_angle_beta 110.26
_cell_angle_gamma 110.26
loop_
_space_group_symop_operation_xyz
'x,y,z'
loop_
_atom_site_label
_atom_site_type_symbol
_atom_site_fract_x
_atom_site_fract_y
_atom_site_fract_z
_atom_site_occupancy
Pm1 Pm 0.0000 0.7878 0.2122 1
Pm2 Pm 0.5000 0.0000 0.0000 1
Pm3 Pm 0.0000 0.2122 0.7878 1
Dy1 Dy 0.2051 0.2049 0.2049 1
Dy2 Dy 0.2932 0.9895 0.5970 1
Dy3 Dy 0.7068 0.4030 0.0105 1
Dy4 Dy 0.2932 0.5970 0.9895 1
Dy5 Dy 0.0000 0.5000 0.5000 1
Dy6 Dy 0.7068 0.0105 0.4030 1
Dy7 Dy 0.7949 0.7951 0.7951 1
Y1 Y 0.5000 0.5000 0.5000 1
```

[6]
DFT (PBE) results for a geometry-optimized Pm3Dy6Y2 structure.

```
data_Pm3Dy6Y2
_chemical_formula_sum 'Pm3 Dy6 Y2'
_space_group_name_H-M_alt 'P 1'
_space_group_IT_number 1
_cell_length_a 6.1858
_cell_length_b 8.0129
_cell_length_c 16.4610
_cell_angle_alpha 50.41
_cell_angle_beta 63.76
_cell_angle_gamma 104.74
loop_
_space_group_symop_operation_xyz
'x,y,z'
loop_
_atom_site_label
_atom_site_type_symbol
_atom_site_fract_x
_atom_site_fract_y
_atom_site_fract_z
_atom_site_occupancy
Pm1 Pm 0.0000 0.0000 0.0000 1
Pm2 Pm 0.8159 0.9061 0.2739 1
Pm3 Pm 0.1841 0.0939 0.7261 1
Dy1 Dy 0.7297 0.3646 0.9078 1
Dy2 Dy 0.9094 0.4561 0.6363 1
Dy3 Dy 0.2703 0.6354 0.0922 1
Dy4 Dy 0.0906 0.5439 0.3637 1
Dy5 Dy 0.6356 0.8190 0.5453 1
Dy6 Dy 0.3644 0.1810 0.4547 1
Y1 Y 0.5434 0.2714 0.1827 1
Y2 Y 0.4566 0.7286 0.8173 1
```

Values of energy relative to the elements, in order: 0.24; 0.21; 0.19; 0.30; 0.26; 0.02, all in eV per atom.
Values of calculated total energy, in order: -5.181; -4.581; -5.048; -4.525; -4.549; -4.965, all in eV/atom.